Record 1
# NdGa6Fe6 | Alexandria | PBE | relaxed
# theoretical density = 7.91 g/cm³
# formation energy = -0.28 eV per atom
# electronic total energy = -154.8 eV for the cell shown
# Fermi-level density of states = 0.60 states/eV/atom
# spin magnetization = 22.27 μB per cell
data_NdGa6Fe6
_chemical_formula_sum 'Nd2 Ga12 Fe12'
_space_group_name_H-M_alt 'I m m m'
_space_group_IT_number 71
_space_group_name_Hall '-I 2 2'
_cell_length_a 5.049
_cell_length_b 8.579
_cell_length_c 8.697
_cell_angle_alpha 90.00
_cell_angle_beta 90.00
_cell_angle_gamma 90.00
loop_
_atom_site_label
_atom_site_type_symbol
_atom_site_fract_x
_atom_site_fract_y
_atom_site_fract_z
_atom_site_occupancy
Nd1 Nd 0.000 0.000 0.000 1
Ga1 Ga 0.000 0.000 0.346 1
Ga2 Ga 0.000 0.336 0.000 1
Ga3 Ga 0.000 0.500 0.310 1
Fe1 Fe 0.000 0.256 0.500 1
Fe2 Fe 0.250 0.250 0.250 1


Record 2
# Dy3TeC2 | Alexandria | PBE | relaxed
# theoretical density = 8.37 g/cm³
# electronic total energy = -149.8 eV for the cell shown
# Fermi-level density of states = 0.15 states/eV/atom
# formation energy (no corrections) = -341 meV per atom
# spin magnetization = 0.00 μB per cell
data_Dy3TeC2
_chemical_formula_sum 'Dy12 Te4 C8'
_space_group_name_H-M_alt 'C m c m'
_space_group_IT_number 63
_space_group_name_Hall '-C 2c 2'
_cell_length_a 11.525
_cell_length_b 6.657
_cell_length_c 6.614
_cell_angle_alpha 90.00
_cell_angle_beta 90.00
_cell_angle_gamma 90.00
loop_
_atom_site_label
_atom_site_type_symbol
_atom_site_fract_x
_atom_site_fract_y
_atom_site_fract_z
_atom_site_occupancy
Dy1 Dy 0.000 0.029 0.250 1
Dy2 Dy 0.236 0.263 0.750 1
Te1 Te 0.000 0.499 0.750 1
C1 C 0.167 0.000 0.000 1


Record 3
# NaEuInAu | Alexandria | PBE | relaxed
# theoretical density = 8.31 g/cm³
# formation energy = -0.38 eV per atom
# electronic total energy = -76.6 eV for the cell shown
# Fermi-level density of states = 3.29 states/eV/atom
# spin magnetization = 28.47 μB per cell
data_NaEuInAu
_chemical_formula_sum 'Na4 Eu4 In4 Au4'
_space_group_name_H-M_alt 'F -4 3 m'
_space_group_IT_number 216
_space_group_name_Hall 'F -4 2 3'
_cell_length_a 7.302
_cell_length_b 7.302
_cell_length_c 7.302
_cell_angle_alpha 90.00
_cell_angle_beta 90.00
_cell_angle_gamma 90.00
loop_
_atom_site_label
_atom_site_type_symbol
_atom_site_fract_x
_atom_site_fract_y
_atom_site_fract_z
_atom_site_occupancy
Na1 Na 0.000 0.000 0.000 1
Eu1 Eu 0.250 0.250 0.750 1
In1 In 0.250 0.250 0.250 1
Au1 Au 0.000 0.000 0.500 1